(1)
## Ca2TiIn2 (PBE)

Data for a geometry-optimized Ca2TiIn2 structure.

The structure in POSCAR format:
```
Ca2TiIn2
1.0
-0.929 5.553 -5.085
-7.189 0.870 2.264
1.457 3.315 3.353
Ca Ti In
4 2 4
Direct
0.171 0.671 0.500
0.671 0.829 0.500
0.829 0.329 0.500
0.329 0.171 0.500
0.000 0.000 0.000
0.500 0.500 0.000
0.360 0.860 0.000
0.860 0.640 0.000
0.640 0.140 0.000
0.140 0.360 0.000
```

Summary:
uncorrected energy: -3.5399 eV per atom
space group: P4/mbm, No. 127
E_form: -65 meV per atom

(2)
## Zr2PaTe (PBE)

Data for a geometry-optimized Zr2PaTe structure.

The structure in POSCAR format:
```
Zr2PaTe
1.0
-3.104 -1.052 -1.045
-0.453 -1.072 -3.237
0.963 -9.714 1.254
Zr Pa Te
2 1 1
Direct
0.076 0.076 0.772
0.257 0.257 0.228
0.500 0.500 0.501
0.667 0.667 0.999
```

Summary:
uncorrected formation energy: -16 kJ/mol of atoms
uncorrected energy: -7.5945 eV per atom
space group: R3m, No. 160

(3)
## K3USb2Se6 (PBE)

Data for a geometry-optimized K3USb2Se6 structure.

The structure in POSCAR format:
```
K3USb2Se6
1.0
7.466 0.000 0.003
-3.731 6.466 0.003
-1.243 -2.153 7.611
K U Sb Se
3 1 2 6
Direct
0.170 0.830 0.500
0.830 0.170 0.500
0.500 0.500 0.500
0.000 0.000 0.000
0.334 0.666 0.000
0.666 0.334 0.000
0.932 0.601 0.795
0.737 0.737 0.206
0.068 0.399 0.205
0.601 0.932 0.795
0.263 0.263 0.794
0.399 0.068 0.205
```

Summary:
uncorrected formation energy: -84 kJ/mol of atoms
uncorrected energy: -4.5125 eV per atom
space group: C2/m, No. 12

(4)
## Ho3In2Ni2 (PBE)

Data for a geometry-optimized Ho3In2Ni2 structure.

The structure in POSCAR format:
```
Ho3In2Ni2
1.0
-1.324 -2.562 2.431
0.119 -2.581 -2.655
9.715 -3.839 4.169
Ho In Ni
3 2 2
Direct
0.823 0.000 0.354
0.000 0.000 0.000
0.177 0.000 0.646
0.588 0.500 0.824
0.412 0.500 0.176
0.717 0.500 0.567
0.283 0.500 0.433
```

Summary:
uncorrected energy: -4.9208 eV per atom
space group: Cmmm, No. 65
E_form: -525 meV per atom

(5)
## Na6ZnHg12 (PBE)

Data for a geometry-optimized Na6ZnHg12 structure.

The structure in POSCAR format:
```
Na6ZnHg12
1.0
7.932 0.249 0.299
-0.956 7.878 0.299
-0.956 -1.114 7.805
Na Zn Hg
6 1 12
Direct
0.696 0.873 0.262
0.738 0.304 0.127
0.127 0.738 0.304
0.304 0.127 0.738
0.262 0.696 0.873
0.873 0.262 0.696
0.000 0.000 0.000
0.791 0.556 0.470
0.470 0.791 0.556
0.556 0.470 0.791
0.209 0.444 0.530
0.530 0.209 0.444
0.444 0.530 0.209
0.027 0.121 0.353
0.879 0.647 0.973
0.647 0.973 0.879
0.973 0.879 0.647
0.121 0.353 0.027
0.353 0.027 0.121
```

Summary:
uncorrected energy: -0.8520 eV per atom
space group: R-3, No. 148
E_form: -178 meV per atom

(6)
## K2RbTeCl (PBE)

Data for a geometry-optimized K2RbTeCl structure.

The structure in POSCAR format:
```
K2RbTeCl
1.0
-2.040 4.567 -3.073
-5.442 -2.168 0.390
-0.865 3.105 5.189
K Te Rb Cl
2 1 1 1
Direct
0.000 0.500 0.000
0.500 0.000 0.000
0.500 0.500 0.500
0.000 0.000 0.500
0.000 0.000 0.000
```

Summary:
uncorrected formation energy: -121 kJ/mol of atoms
uncorrected energy: -2.8870 eV per atom
space group: P4/mmm, No. 123